Entry from the Alexandria database: a relaxed structure of MnAsOsBr2 (PBE).

## Properties
SG: P4/mmm
Offset from the most stable computed form (meV per atom): 0
Formation energy from raw total energies (meV per atom): 766.1

Unit cell a=5.261 b=5.261 c=4.670 alpha=90.00 beta=90.00 gamma=90.00
Fractional positions:
Mn (0.000, 0.000, 0.000)
As (0.500, 0.500, 0.000)
Os (0.500, 0.500, 0.500)
Br (0.000, 0.500, 0.500)
Br (0.500, 0.000, 0.500)

---

Entry from the Alexandria database: a relaxed structure of NiAgMo2 (PBE).

## Properties
Calculated formation energy (eV/atom): 0.330
SG: P2/m
Offset from the most stable computed form (meV per atom): 129

Unit cell a=2.666 b=4.175 c=5.406 alpha=90.00 beta=93.88 gamma=90.00
Fractional positions:
Ni (0.000, 0.000, 0.000)
Ag (0.000, 0.000, 0.500)
Mo (0.477, 0.500, 0.226)
Mo (0.523, 0.500, 0.774)

---

Entry from the Alexandria database: a relaxed structure of Cs4VS4 (PBE).

## Properties
SG: P4_2/nmc
Formation energy from raw total energies (meV per atom): -1134.5

Unit cell a=9.622 b=9.622 c=7.363 alpha=90.00 beta=90.00 gamma=90.00
Fractional positions:
Cs (0.030, 0.250, 0.104)
Cs (0.250, 0.030, 0.604)
Cs (0.250, 0.470, 0.604)
Cs (0.470, 0.250, 0.104)
Cs (0.530, 0.750, 0.896)
Cs (0.750, 0.530, 0.396)
Cs (0.750, 0.970, 0.396)
Cs (0.970, 0.750, 0.896)
V (0.250, 0.750, 0.250)
V (0.750, 0.250, 0.750)
S (0.057, 0.750, 0.420)
S (0.250, 0.557, 0.080)
S (0.250, 0.943, 0.080)
S (0.443, 0.750, 0.420)
S (0.557, 0.250, 0.580)
S (0.750, 0.057, 0.920)
S (0.750, 0.443, 0.920)
S (0.943, 0.250, 0.580)

---

Entry from the Alexandria database: a relaxed structure of TiFeTe2I (PBE).

## Properties
SG: P4/mmm
Offset from the most stable computed form (meV per atom): 182
Formation energy from raw total energies (meV per atom): 672.7

Unit cell a=4.987 b=4.987 c=5.179 alpha=90.00 beta=90.00 gamma=90.00
Fractional positions:
Ti (0.000, 0.000, 0.000)
Fe (0.500, 0.500, 0.500)
Te (0.000, 0.500, 0.500)
Te (0.500, 0.000, 0.500)
I (0.500, 0.500, 0.000)

---

Values of total magnetic moment, in order: 5.5; 0.0; 1.0; 0.2, all in μB per formula unit.
Values of density of states at the Fermi level, in order: 0.376; 1.019; 0.732; 1.767, all in states/eV per atom.